# Ac2RhPb8 | Alexandria via LeMat-Bulk | GGA-PBE | optimized geometry
data_Ac2RhPb8
_cell_length_a 5.015
_cell_length_b 5.015
_cell_length_c 13.187
_cell_angle_alpha 90.00
_cell_angle_beta 90.00
_cell_angle_gamma 90.00
_space_group_name_H-M_alt 'P 4/m m m'
_space_group_IT_number 123
_space_group_name_Hall '-P 4 2'
loop_
_atom_site_label
_atom_site_fract_x
_atom_site_fract_y
_atom_site_fract_z
Ac1 0.000 0.000 0.193
Rh1 0.000 0.000 0.500
Pb1 0.000 0.500 0.000
Pb2 0.000 0.500 0.382
Pb3 0.500 0.500 0.191
# - Total magnetization: 0.00 μB per formula unit

# Ac4RhPb3 | Alexandria via LeMat-Bulk | GGA-PBE | optimized geometry
data_Ac4RhPb3
_cell_length_a 4.788
_cell_length_b 4.829
_cell_length_c 12.015
_cell_angle_alpha 90.00
_cell_angle_beta 90.00
_cell_angle_gamma 90.00
_space_group_name_H-M_alt 'P m m 2'
_space_group_IT_number 25
loop_
_space_group_symop_operation_xyz
'x,y,z'
'-x,-y,z'
'-x,y,z'
'x,-y,z'
loop_
_atom_site_label
_atom_site_fract_x
_atom_site_fract_y
_atom_site_fract_z
Ac1 0.000 0.000 0.000
Ac2 0.000 0.500 0.438
Ac3 0.500 0.000 0.684
Ac4 0.500 0.500 0.191
Rh1 0.000 0.000 0.242
Pb1 0.000 0.500 0.731
Pb2 0.500 0.000 0.394
Pb3 0.500 0.500 0.914
# - Total magnetization: 0.00 μB per formula unit

# Ac2Rh3Pb2 | Alexandria via LeMat-Bulk | GGA-PBE | optimized geometry
data_Ac2Rh3Pb2
_cell_length_a 9.002
_cell_length_b 9.002
_cell_length_c 9.002
_cell_angle_alpha 90.00
_cell_angle_beta 90.00
_cell_angle_gamma 90.00
_space_group_name_H-M_alt 'I 21 3'
_space_group_IT_number 199
_space_group_name_Hall 'I 2b 2c 3'
loop_
_atom_site_label
_atom_site_fract_x
_atom_site_fract_y
_atom_site_fract_z
Ac1 0.240 0.240 0.240
Rh1 0.000 0.250 0.021
Pb1 0.045 0.455 0.545
# - Total magnetization: 0.00 μB per formula unit

# Ac5Rh2Pb2 | Alexandria via LeMat-Bulk | GGA-PBE | optimized geometry
data_Ac5Rh2Pb2
_cell_length_a 16.932
_cell_length_b 9.053
_cell_length_c 7.954
_cell_angle_alpha 90.00
_cell_angle_beta 90.00
_cell_angle_gamma 90.00
_space_group_name_H-M_alt 'C m c e'
_space_group_IT_number 64
_space_group_name_Hall '-C 2ac 2'
loop_
_atom_site_label
_atom_site_fract_x
_atom_site_fract_y
_atom_site_fract_z
Ac1 0.000 0.000 0.000
Ac2 0.119 0.174 0.350
Rh1 0.000 0.124 0.644
Pb1 0.212 0.000 0.000
# - Total magnetization: 0.00 μB per formula unit

# Ac7RhPb4 | Alexandria via LeMat-Bulk | GGA-PBE | optimized geometry
data_Ac7RhPb4
_cell_length_a 16.953
_cell_length_b 5.759
_cell_length_c 12.130
_cell_angle_alpha 90.00
_cell_angle_beta 125.84
_cell_angle_gamma 90.00
_space_group_name_H-M_alt 'C 1 2/m 1'
_space_group_IT_number 12
loop_
_space_group_symop_operation_xyz
'x,y,z'
'-x,-y,-z'
'-x,y,-z'
'x,-y,z'
'x+1/2,y+1/2,z'
'-x+1/2,-y+1/2,-z'
'-x+1/2,y+1/2,-z'
'x+1/2,-y+1/2,z'
loop_
_atom_site_label
_atom_site_fract_x
_atom_site_fract_y
_atom_site_fract_z
Ac1 0.000 0.000 0.000
Ac2 0.077 0.500 0.276
Ac3 0.140 0.000 0.551
Ac4 0.213 0.500 0.869
Rh1 0.000 0.500 0.000
Pb1 0.077 0.000 0.778
Pb2 0.226 0.000 0.347
# - Total magnetization: 0.00 μB per formula unit

# AcRhPb | Alexandria via LeMat-Bulk | GGA-PBE | optimized geometry
data_AcRhPb
_cell_length_a 7.039
_cell_length_b 7.039
_cell_length_c 7.039
_cell_angle_alpha 90.00
_cell_angle_beta 90.00
_cell_angle_gamma 90.00
_space_group_name_H-M_alt 'F -4 3 m'
_space_group_IT_number 216
_space_group_name_Hall 'F -4 2 3'
loop_
_atom_site_label
_atom_site_fract_x
_atom_site_fract_y
_atom_site_fract_z
Ac1 0.000 0.000 0.000
Rh1 0.250 0.250 0.250
Pb1 0.000 0.000 0.500
# - Total magnetization: 0.00 μB per formula unit

Summary of density in g/cm³
11.09, 9.76, 10.72, 9.56, 8.72, 10.23
(order as listed above)
Summary of ΔH_f (0 K) in meV per atom
-306, -505, -500, -521, -342, -466
(order as listed above)